No. 1
## Tb3GaAg3Se8 (PBE)

Data for crystalline Tb3GaAg3Se8 at its relaxed geometry.

Calculated values
**Theoretical density**: 6.6 g/cm³
**SG**: C2/m
**Total magnetic moment**: 0.00 μB per cell

POSCAR file:
```
Tb3GaAg3Se8
1.0
8.242 0.000 0.000
-4.121 7.134 -0.043
0.000 -4.753 6.468
Tb Ga Ag Se
3 1 3 8
direct
0.500 0.000 0.500
0.500 0.500 0.500
0.000 0.500 0.500
0.000 0.000 0.500
0.000 0.000 0.000
0.000 0.500 0.000
0.500 0.500 0.000
0.252 0.503 0.256
0.748 0.497 0.744
0.768 0.536 0.264
0.232 0.464 0.736
0.767 0.994 0.263
0.233 0.006 0.737
0.227 0.994 0.263
0.773 0.006 0.737
```


No. 2
## TbGaAg2Se4 (PBE)

Data for crystalline TbGaAg2Se4 at its relaxed geometry.

Calculated values
**Theoretical density**: 6.8 g/cm³
**SG**: Imma
**Total magnetic moment**: 0.00 μB per cell

POSCAR file:
```
TbGaAg2Se4
1.0
-8.058 -0.425 -0.315
0.477 -7.990 -1.066
3.980 3.856 6.381
Tb Ga Ag Se
2 2 4 8
direct
0.000 0.500 0.000
0.000 0.500 0.500
0.500 0.500 0.500
0.000 0.000 0.000
0.500 0.000 0.000
0.500 0.000 0.500
0.000 0.000 0.500
0.500 0.500 0.000
0.267 0.738 0.003
0.762 0.233 0.497
0.238 0.767 0.503
0.733 0.262 0.997
0.748 0.752 0.961
0.748 0.752 0.539
0.252 0.248 0.461
0.252 0.248 0.039
```


No. 3
## GaAg2TeSe4 (PBE)

Data for crystalline GaAg2TeSe4 at its relaxed geometry.

Calculated values
**Theoretical density**: 5.4 g/cm³
**SG**: P1
**Total magnetic moment**: 0.00 μB per cell

POSCAR file:
```
GaAg2TeSe4
1.0
5.898 -0.536 0.034
-0.565 6.524 0.270
-2.613 -2.709 5.717
Ga Ag Te Se
1 2 1 4
direct
0.965 0.492 0.967
0.338 0.026 0.996
0.234 0.205 0.395
0.921 0.725 0.518
0.644 0.592 0.706
0.826 0.304 0.185
0.332 0.819 0.254
0.128 0.225 0.754
```


No. 4
## TmGaAg2Se4 (PBE)

Data for crystalline TmGaAg2Se4 at its relaxed geometry.

Calculated values
**Theoretical density**: 7.0 g/cm³
**SG**: Imma
**Total magnetic moment**: 0.00 μB per cell

POSCAR file:
```
TmGaAg2Se4
1.0
8.015 -0.016 -0.271
-0.022 8.015 -0.271
-4.119 -4.122 5.928
Tm Ga Ag Se
2 2 4 8
direct
0.000 0.500 0.000
0.000 0.500 0.500
0.500 0.500 0.500
0.000 0.000 0.000
0.500 0.000 0.000
0.500 0.000 0.500
0.000 0.000 0.500
0.500 0.500 0.000
0.260 0.738 0.999
0.762 0.240 0.501
0.238 0.760 0.499
0.740 0.262 0.001
0.750 0.750 0.965
0.750 0.750 0.535
0.250 0.250 0.465
0.250 0.250 0.035
```


No. 5
## GaAg2WSe (PBE)

Data for crystalline GaAg2WSe at its relaxed geometry.

Calculated values
**Theoretical density**: 6.9 g/cm³
**SG**: P4/mmm
**Total magnetic moment**: 0.00 μB per cell

POSCAR file:
```
GaAg2WSe
1.0
-4.085 -3.304 -0.413
0.593 -1.296 4.503
-3.263 3.843 1.536
Ga Se Ag W
1 1 2 1
direct
0.500 0.500 0.500
0.000 0.500 0.000
0.000 0.000 0.500
0.500 0.000 0.000
0.000 0.000 0.000
```


No. 6
## Zn2GaAgSe4 (PBE)

Data for crystalline Zn2GaAgSe4 at its relaxed geometry.

Calculated values
**Theoretical density**: 5.3 g/cm³
**SG**: I-42m
**Total magnetic moment**: 0.00 μB per cell
**E above lowest polymorph**: 0.000 eV/atom

POSCAR file:
```
Zn2GaAgSe4
1.0
-0.601 -1.120 -6.932
6.489 -0.949 -2.583
-3.267 -3.055 5.446
Zn Ga Ag Se
2 1 1 4
direct
0.250 0.750 0.500
0.750 0.250 0.500
0.000 0.000 0.000
0.500 0.500 0.000
0.893 0.365 0.000
0.365 0.893 0.000
0.635 0.635 0.528
0.107 0.107 0.472
```


No. 7
## Zn2GaAgSe4 (PBE)

Data for crystalline Zn2GaAgSe4 at its relaxed geometry.

Calculated values
**Theoretical density**: 5.2 g/cm³
**SG**: Pm
**Total magnetic moment**: 0.00 μB per cell
**E above lowest polymorph**: 0.043 eV/atom

POSCAR file:
```
Zn2GaAgSe4
1.0
4.057 0.000 0.000
0.000 6.812 -0.016
0.000 0.004 7.200
Zn Ga Ag Se
2 1 1 4
direct
0.500 0.523 0.165
0.000 0.986 0.323
0.500 0.985 0.845
0.000 0.491 0.663
0.000 0.107 0.668
0.500 0.138 0.164
0.500 0.636 0.847
0.000 0.629 0.326
```


No. 8
## GaSiAg (PBE)

Data for crystalline GaSiAg at its relaxed geometry.

Calculated values
**Theoretical density**: 6.2 g/cm³
**SG**: P1
**Total magnetic moment**: 0.00 μB per cell

POSCAR file:
```
GaSiAg
1.0
-0.774 -0.749 3.425
4.580 -3.101 -1.463
0.862 5.601 3.189
Si Ga Ag
2 2 2
direct
0.680 0.231 0.392
0.036 0.967 0.425
0.288 0.623 0.579
0.966 0.479 0.129
0.467 0.173 0.808
0.699 0.793 0.966
```


| no. | electronic total energy (eV/f.u.) | raw formation energy (meV per atom) | V (Å³ per atom) |
| --- | --- | --- | --- |
| 1 | -67.720 | -958 | 25.240 |
| 2 | -32.829 | -691 | 23.139 |
| 3 | -27.078 | -159 | 27.951 |
| 4 | -32.650 | -689 | 22.684 |
| 5 | -20.986 | 836 | 26.235 |
| 6 | -26.968 | -576 | 24.612 |
| 7 | -26.626 | -533 | 24.874 |
| 8 | -10.707 | 198 | 18.371 |